A relaxed TbSnN crystal, computed with PBE.

a b c (Å): 6.1964 10.9381 15.8573
angles (deg): 90.00 90.00 90.00
Closest atoms and distances in Å follow each position.
Space group Fddd (No. 70, origin choice 2)
Symmetry-distinct sites (fractional):
Tb (0.1250, 0.3109, 0.1250) [16 per cell]  2 N 2.23
Sn (0.1250, 0.1250, 0.5366) [16 per cell]  2 N 2.76, 1 Sn 2.80, 2 Tb 3.07
N (0.0000, 0.0000, 0.0000) [16 per cell]  2 Tb 2.23

total DFT energy (no corrections) = -269.6 eV/cell
calculated density = 7210 kg/m3
raw formation energy = 3.53 kJ per mole of atoms
DOS at the Fermi energy = 23.806 states/eV per cell

A relaxed Tb2Th4Sn3N2 crystal, computed with PBE.

a b c (Å): 4.8102 4.8102 25.8342
angles (deg): 90.00 90.00 90.00
Closest atoms and distances in Å follow each position.
Space group I4/mmm (No. 139)
Symmetry-distinct sites (fractional):
Tb (0.0000, 0.0000, 0.1962) [4 per cell]  1 N 2.35
Th (0.0000, 0.5000, 0.0844) [8 per cell]  2 N 2.46
Sn (0.0000, 0.0000, 0.3202) [4 per cell]  5 Tb 3.20-3.43, 4 Th 3.44
Sn (0.0000, 0.0000, 0.5000) [2 per cell]  8 Th 3.25
N (0.0000, 0.0000, 0.1052) [4 per cell]  1 Tb 2.35, 4 Th 2.46

total DFT energy (no corrections) = -154.4 eV/cell
calculated density = 9057 kg/m3
raw formation energy = -84.02 kJ per mole of atoms
DOS at the Fermi energy = 12.738 states/eV per cell

A relaxed Tb4TlSnN crystal, computed with PBE.

a b c (Å): 6.7017 16.1071 6.7019
angles (deg): 90.00 90.00 90.00
Closest atoms and distances in Å follow each position.
Space group Cmcm (No. 63)
Symmetry-distinct sites (fractional):
Tb (0.0000, 0.0873, 0.2500) [4 per cell]  1 N 2.64
Tb (0.0000, 0.4105, 0.2500) [4 per cell]  1 N 2.57
Tb (0.2500, 0.2500, 0.0000) [8 per cell]  2 N 2.37
Tl (0.0000, 0.1096, 0.7500) [4 per cell]  9 Tb 3.17-3.37
Sn (0.0000, 0.3911, 0.7500) [4 per cell]  9 Tb 3.19-3.37
N (0.0000, 0.2510, 0.2500) [4 per cell]  6 Tb 2.37-2.64

total DFT energy (no corrections) = -156.5 eV/cell
calculated density = 8932 kg/m3
raw formation energy = -81.62 kJ per mole of atoms
DOS at the Fermi energy = 6.845 states/eV per cell

A relaxed Tb2TmSnN4 crystal, computed with PBE.

a b c (Å): 5.9696 3.4625 6.0130
angles (deg): 90.00 109.65 90.00
Closest atoms and distances in Å follow each position.
Space group P2/m (No. 10)
Symmetry-distinct sites (fractional):
Tb (0.0000, 0.0000, 0.0000) [1 per cell]  6 N 2.47-2.48
Tb (0.0000, 0.5000, 0.5000) [1 per cell]  6 N 2.42-2.43
Tm (0.5000, 0.0000, 0.5000) [1 per cell]  6 N 2.42
Sn (0.5000, 0.5000, 0.0000) [1 per cell]  6 N 2.46-2.48
N (0.2491, 0.0000, 0.7434) [2 per cell]  1 Tm 2.42, 3 Tb 2.43-2.48, 2 Sn 2.46
N (0.2510, 0.5000, 0.2578) [2 per cell]  3 Tb 2.42-2.47, 2 Tm 2.42, 1 Sn 2.48

total DFT energy (no corrections) = -59.7 eV/cell
calculated density = 9385 kg/m3
raw formation energy = -104.67 kJ per mole of atoms
DOS at the Fermi energy = 4.087 states/eV per cell

A relaxed TbY2SnN4 crystal, computed with PBE.

a b c (Å): 6.0220 3.4812 6.0338
angles (deg): 90.00 109.62 90.00
Closest atoms and distances in Å follow each position.
Space group P2/m (No. 10)
Symmetry-distinct sites (fractional):
Tb (0.0000, 0.0000, 0.0000) [1 per cell]  6 N 2.46-2.47
Y (0.0000, 0.5000, 0.5000) [1 per cell]  6 N 2.42-2.43
Y (0.5000, 0.0000, 0.5000) [1 per cell]  6 N 2.46
Sn (0.5000, 0.5000, 0.0000) [1 per cell]  6 N 2.49-2.51
N (0.2444, 0.0000, 0.7437) [2 per cell]  3 Y 2.43-2.46, 1 Tb 2.47, 2 Sn 2.49
N (0.2459, 0.5000, 0.2551) [2 per cell]  3 Y 2.42-2.46, 2 Tb 2.46, 1 Sn 2.51

total DFT energy (no corrections) = -63.3 eV/cell
calculated density = 7128 kg/m3
raw formation energy = -101.98 kJ per mole of atoms
DOS at the Fermi energy = 4.839 states/eV per cell

A relaxed TbY2SnN crystal, computed with PBE.

a b c (Å): 4.8079 4.8079 4.8311
angles (deg): 90.00 90.00 90.00
Closest atoms and distances in Å follow each position.
Space group P4/mmm (No. 123)
Symmetry-distinct sites (fractional):
Tb (0.0000, 0.0000, 0.0000) [1 per cell]  2 N 2.42
Y (0.0000, 0.5000, 0.5000) [2 per cell]  2 N 2.40
Sn (0.5000, 0.5000, 0.0000) [1 per cell]  4 Tb 3.40, 8 Y 3.41
N (0.0000, 0.0000, 0.5000) [1 per cell]  4 Y 2.40, 2 Tb 2.42

total DFT energy (no corrections) = -35.2 eV/cell
calculated density = 6980 kg/m3
raw formation energy = -103.13 kJ per mole of atoms
DOS at the Fermi energy = 1.993 states/eV per cell